The following is a DFT calculation (PBE-GGA) of crystalline GaPd4 at its relaxed geometry.

total energy: -5.096 eV/atom
formation energy from the elements: -7.8 kcal/mol of atoms

a = 9.6230 Å, b = 13.2510 Å, c = 4.8169 Å
α = 90.00°, β = 90.00°, γ = 90.00°
Closest atoms and distances in Å follow each position.
Space group Fdd2 (No. 43)
One atom of each set of equivalent atoms:
Ga 0.0000 0.0000 0.0000  8 Pd 2.59-2.88
Pd 0.0330 0.1976 0.9669  2 Ga 2.59-2.64, 8 Pd 2.73-2.89
Pd 0.0369 0.0976 0.4714  2 Ga 2.64-2.88, 9 Pd 2.68-2.89


The following is a DFT calculation (PBE-GGA) of crystalline Ga3Pd4 at its relaxed geometry.

total energy: -4.873 eV/atom
formation energy from the elements: -14.0 kcal/mol of atoms

a = 11.7207 Å, b = 11.7207 Å, c = 5.4123 Å
α = 90.00°, β = 90.00°, γ = 120.00°
Closest atoms and distances in Å follow each position.
Space group R-3 (No. 148, hexagonal axes)
One atom of each set of equivalent atoms:
Ga 0.0232 0.2167 0.3039  7 Pd 2.58-2.76
Pd 0.0000 0.0000 0.0000  8 Pd 2.71-2.80, 6 Ga 2.92
Pd 0.0000 0.0000 0.5000  6 Ga 2.64, 2 Pd 2.71
Pd 0.0228 0.2332 0.8129  6 Ga 2.58-2.76, 1 Pd 2.80


The following is a DFT calculation (PBE-GGA) of crystalline GaPd at its relaxed geometry.

total energy: -4.471 eV/atom
formation energy from the elements: -8.3 kcal/mol of atoms

a = 8.6891 Å, b = 8.6891 Å, c = 4.6589 Å
α = 90.00°, β = 90.00°, γ = 90.00°
Closest atoms and distances in Å follow each position.
Space group I4/mcm (No. 140)
One atom of each set of equivalent atoms:
Ga 0.1843 0.3157 0.0000  5 Pd 2.50-2.65
Pd 0.1115 0.3885 0.5000  5 Ga 2.50-2.65, 1 Pd 2.74


The following is a DFT calculation (PBE-GGA) of crystalline GaPd at its relaxed geometry.

total energy: -4.682 eV/atom
formation energy from the elements: -13.2 kcal/mol of atoms

a = 3.1125 Å, b = 3.1125 Å, c = 3.1125 Å
α = 90.00°, β = 90.00°, γ = 90.00°
Closest atoms and distances in Å follow each position.
Space group Pm-3m (No. 221)
One atom of each set of equivalent atoms:
Ga 0.0000 0.0000 0.0000  8 Pd 2.70
Pd 0.5000 0.5000 0.5000  8 Ga 2.70


The following is a DFT calculation (PBE-GGA) of crystalline Ga6Pd at its relaxed geometry.

total energy: -2.797 eV/atom
formation energy from the elements: 12.4 kcal/mol of atoms

a = 7.0743 Å, b = 7.0743 Å, c = 7.0743 Å
α = 90.00°, β = 90.00°, γ = 90.00°
Closest atoms and distances in Å follow each position.
Space group Im-3m (No. 229)
One atom of each set of equivalent atoms:
Ga 0.0000 0.2500 0.5000  4 Ga 2.50
Pd 0.0000 0.0000 0.0000  24 Ga 3.95


The following is a DFT calculation (PBE-GGA) of crystalline GaPd3 at its relaxed geometry.

total energy: -5.096 eV/atom
formation energy from the elements: -10.3 kcal/mol of atoms

a = 5.6067 Å, b = 5.6067 Å, c = 4.4418 Å
α = 90.00°, β = 90.00°, γ = 120.00°
Closest atoms and distances in Å follow each position.
Space group P6_3/mmc (No. 194)
One atom of each set of equivalent atoms:
Ga 0.3333 0.6667 0.2500  12 Pd 2.74-2.80
Pd 0.1684 0.3367 0.7500  4 Ga 2.74-2.80, 8 Pd 2.76-2.83


The following is a DFT calculation (PBE-GGA) of crystalline GaPd3 at its relaxed geometry.

total energy: -5.096 eV/atom
formation energy from the elements: -10.3 kcal/mol of atoms

a = 3.9225 Å, b = 3.9225 Å, c = 3.9225 Å
α = 90.00°, β = 90.00°, γ = 90.00°
Closest atoms and distances in Å follow each position.
Space group Pm-3m (No. 221)
One atom of each set of equivalent atoms:
Ga 0.0000 0.0000 0.0000  12 Pd 2.77
Pd 0.0000 0.5000 0.5000  8 Pd 2.77, 4 Ga 2.77


The following is a DFT calculation (PBE-GGA) of crystalline GaPd at its relaxed geometry.

total energy: -4.441 eV/atom
formation energy from the elements: -7.6 kcal/mol of atoms

a = 5.1544 Å, b = 5.1544 Å, c = 5.1544 Å
α = 90.00°, β = 90.00°, γ = 90.00°
Closest atoms and distances in Å follow each position.
Space group Fm-3m (No. 225)
One atom of each set of equivalent atoms:
Ga 0.0000 0.0000 0.0000  6 Pd 2.58
Pd 0.0000 0.0000 0.5000  6 Ga 2.58


The following is a DFT calculation (PBE-GGA) of crystalline GaPd7 at its relaxed geometry.

total energy: -5.154 eV/atom
formation energy from the elements: -5.4 kcal/mol of atoms

a = 7.8681 Å, b = 7.8681 Å, c = 7.8681 Å
α = 90.00°, β = 90.00°, γ = 90.00°
Closest atoms and distances in Å follow each position.
Space group Fm-3m (No. 225)
One atom of each set of equivalent atoms:
Ga 0.0000 0.0000 0.0000  12 Pd 2.78
Pd 0.0000 0.0000 0.5000  12 Pd 2.78
Pd 0.0000 0.2500 0.2500  10 Pd 2.78, 2 Ga 2.78


The following is a DFT calculation (PBE-GGA) of crystalline Ga6Pd5 at its relaxed geometry.

total energy: -4.548 eV/atom
formation energy from the elements: -12.4 kcal/mol of atoms

a = 4.3401 Å, b = 6.2460 Å, c = 12.8597 Å
α = 90.00°, β = 90.00°, γ = 90.00°
Closest atoms and distances in Å follow each position.
Space group Immm (No. 71)
One atom of each set of equivalent atoms:
Ga 0.0000 0.2302 0.0000  6 Pd 2.62-2.75, 1 Ga 2.88
Ga 0.0000 0.2595 0.3411  7 Pd 2.61-2.73
Pd 0.0000 0.0000 0.1704  8 Ga 2.62-2.73
Pd 0.0000 0.0000 0.5000  8 Ga 2.61-2.75
Pd 0.0000 0.5000 0.1678  8 Ga 2.69-2.74, 2 Pd 3.01


The following is a DFT calculation (PBE-GGA) of crystalline GaPd at its relaxed geometry.

total energy: -4.652 eV/atom
formation energy from the elements: -12.5 kcal/mol of atoms

a = 2.8776 Å, b = 4.9326 Å, c = 4.3875 Å
α = 90.00°, β = 90.00°, γ = 90.00°
Closest atoms and distances in Å follow each position.
Space group Pmmn (No. 59, origin choice 2)
One atom of each set of equivalent atoms:
Ga 0.2500 0.2500 0.1295  6 Pd 2.61-2.69, 2 Ga 2.88
Pd 0.2500 0.7500 0.3736  6 Ga 2.61-2.69, 2 Pd 2.88


The following is a DFT calculation (PBE-GGA) of crystalline GaPd3 at its relaxed geometry.

total energy: -5.112 eV/atom
formation energy from the elements: -10.6 kcal/mol of atoms

a = 4.0858 Å, b = 4.0858 Å, c = 7.2367 Å
α = 90.00°, β = 90.00°, γ = 90.00°
Closest atoms and distances in Å follow each position.
Space group I4/mmm (No. 139)
One atom of each set of equivalent atoms:
Ga 0.0000 0.0000 0.0000  12 Pd 2.73-2.89
Pd 0.0000 0.0000 0.5000  8 Pd 2.73, 4 Ga 2.89
Pd 0.0000 0.5000 0.2500  8 Pd 2.73-2.89, 4 Ga 2.73


Question: What is the formation energy from the elements in the tenth record?
Answer: -12.4 kcal/mol of atoms


Question: Among the records above, which one has the highest formation energy from the elements?
Answer: Ga6Pd


What did the third record say?
The following is a DFT calculation (PBE-GGA) of crystalline GaPd at its relaxed geometry.

total energy: -4.471 eV/atom
formation energy from the elements: -8.3 kcal/mol of atoms

a = 8.6891 Å, b = 8.6891 Å, c = 4.6589 Å
α = 90.00°, β = 90.00°, γ = 90.00°
Closest atoms and distances in Å follow each position.
Space group I4/mcm (No. 140)
One atom of each set of equivalent atoms:
Ga 0.1843 0.3157 0.0000  5 Pd 2.50-2.65
Pd 0.1115 0.3885 0.5000  5 Ga 2.50-2.65, 1 Pd 2.74